VASP calculation (PBE) on an optimized crystal structure of Np3Tl4ZnTe8.

* total magnetic moment: 0.69 μB per atom
* energy relative to the elements, uncorrected: -0.47 eV/atom
* crystal system: trigonal

Cell: 8.8905 9.5950 8.8883 Å, 117.59 120.01 90.00°
Last column: nearest neighbours and their distance in Å.
Element x y z (fractional)
Tl  0.5000  0.0000  0.0000  6 Te 3.57
Tl  0.5000  0.0000  0.5000  6 Te 3.45-3.48
Tl  0.0000  0.0000  0.0000  6 Te 3.45-3.48
Tl  0.0000  0.0000  0.5000  6 Te 3.45-3.48
Np  0.0000  0.5000  0.5000  6 Te 3.09-3.10
Np  0.5000  0.5000  0.0000  6 Te 3.09-3.10
Np  0.5000  0.5000  0.5000  6 Te 3.09-3.10
Te  0.2539  0.2948  0.0243  1 Zn 2.99, 2 Np 3.09
Te  0.7708  0.2951  0.5416  1 Zn 2.98, 2 Np 3.10
Te  0.7384  0.7154  0.4769  3 Np 3.10, 3 Tl 3.45
Te  0.2296  0.7052  0.9757  1 Zn 2.99, 2 Np 3.09
Te  0.7461  0.7052  0.9757  1 Zn 2.99, 2 Np 3.09
Te  0.2616  0.2846  0.5231  3 Np 3.10, 3 Tl 3.45
Te  0.2292  0.7049  0.4584  1 Zn 2.98, 2 Np 3.10
Te  0.7704  0.2948  0.0243  1 Zn 2.99, 2 Np 3.09
Zn  0.0000  0.5000  0.0000  6 Te 2.98-2.99

VASP calculation (PBE) on an optimized crystal structure of AcTaN2O.

* total magnetic moment: 0.00 μB per atom
* energy relative to the elements, uncorrected: -1.89 eV/atom
* crystal system: tetragonal

Cell: 5.8455 5.8455 5.8529 Å, 119.96 119.96 90.00°
Last column: nearest neighbours and their distance in Å.
Element x y z (fractional)
N  0.7332  0.2332  0.9665  2 Ta 2.08
N  0.2333  0.7333  0.9665  2 Ta 2.08
N  0.7333  0.7332  0.9665  2 Ta 2.08
N  0.2332  0.2333  0.9665  2 Ta 2.08
Ta  0.5101  0.5101  0.0202  1 O 1.94, 4 N 2.08
Ta  0.0101  0.0101  0.0202  1 O 1.94, 4 N 2.08
O  0.2446  0.2446  0.4893  1 Ta 1.94
O  0.7446  0.7446  0.4893  1 Ta 1.94
Ac  0.2790  0.7790  0.5579  4 N 2.67, 4 O 2.94
Ac  0.7790  0.2790  0.5579  4 N 2.67, 4 O 2.94

VASP calculation (PBE) on an optimized crystal structure of KRb6Au3.

* total magnetic moment: 0.00 μB per atom
* ΔH_f (0 K): -0.161 eV/atom
* crystal system: monoclinic

Cell: 5.0134 13.3281 15.9434 Å, 100.55 90.00 90.00°
Last column: nearest neighbours and their distance in Å.
Element x y z (fractional)
Rb  0.7500  0.7502  0.2917  3 Au 3.72-3.73
Rb  0.2500  0.8796  0.5569  2 Au 3.48
Rb  0.2500  0.1689  0.9928  5 Au 3.65-3.78, 2 K 4.08
Rb  0.7500  0.1204  0.4431  2 Au 3.48
Rb  0.2500  0.2631  0.2580  3 Au 3.60-3.64, 1 K 4.00
Rb  0.7500  0.4557  0.5921  3 Au 3.45-3.66
Rb  0.7500  0.8311  0.0072  5 Au 3.65-3.78, 2 K 4.08
Rb  0.2500  0.2498  0.7083  3 Au 3.72-3.73
Rb  0.2500  0.5443  0.4079  3 Au 3.45-3.66
Rb  0.7500  0.7369  0.7420  3 Au 3.60-3.64, 1 K 4.00
Rb  0.7500  0.4829  0.1050  3 Au 3.76-3.87, 1 Rb 4.20
Rb  0.2500  0.5171  0.8950  3 Au 3.76-3.87, 1 Rb 4.20
Au  0.2500  0.3039  0.4876  7 Rb 3.45-3.72
Au  0.7500  0.3052  0.8840  1 K 3.52, 7 Rb 3.71-3.87
Au  0.7500  0.6961  0.5124  7 Rb 3.45-3.72
Au  0.2500  0.6948  0.1160  1 K 3.52, 7 Rb 3.71-3.87
Au  0.2500  0.9023  0.8621  2 K 3.37, 5 Rb 3.64-3.78
Au  0.7500  0.0977  0.1379  2 K 3.37, 5 Rb 3.64-3.78
K  0.2500  0.9580  0.1994  3 Au 3.37-3.52
K  0.7500  0.0420  0.8006  3 Au 3.37-3.52

VASP calculation (PBE) on an optimized crystal structure of Ac4NiPd3.

* total magnetic moment: 0.00 μB per atom
* ΔH_f (0 K): -0.664 eV/atom
* crystal system: orthorhombic

Cell: 4.1243 4.6841 11.5606 Å, 90.00 90.00 90.00°
Last column: nearest neighbours and their distance in Å.
Element x y z (fractional)
Ac  0.5000  0.5000  0.3592  6 Pd 3.18-3.34, 1 Ni 3.19
Ac  0.5000  0.0000  0.6345  7 Pd 3.17-3.29
Ac  0.0000  0.0000  0.1335  4 Ni 3.17, 3 Pd 3.22-3.24
Ac  0.0000  0.5000  0.8708  5 Pd 3.17-3.29, 2 Ni 3.21
Pd  0.0000  0.0000  0.4135  2 Pd 3.08, 7 Ac 3.18-3.28
Pd  0.5000  0.0000  0.9191  2 Ni 3.01, 7 Ac 3.17-3.29
Pd  0.0000  0.5000  0.5861  2 Pd 3.08, 7 Ac 3.17-3.34
Ni  0.5000  0.5000  0.0834  2 Pd 3.01, 7 Ac 3.17-3.21

VASP calculation (PBE) on an optimized crystal structure of KBaFeMo2.

* total magnetic moment: 1.70 μB per atom
* ΔH_f (0 K): 2.628 eV/atom
* crystal system: tetragonal

Cell: 5.4144 5.3238 5.4144 Å, 90.00 90.00 90.00°
Last column: nearest neighbours and their distance in Å.
Element x y z (fractional)
Mo  0.5000  0.0000  0.0000  2 Ba 2.71
Mo  0.0000  0.0000  0.5000  2 Ba 2.71
Fe  0.0000  0.5000  0.0000  2 Ba 2.66
Ba  0.0000  0.0000  0.0000  2 Fe 2.66, 4 Mo 2.71
K  0.5000  0.5000  0.5000  8 Mo 3.80, 4 Fe 3.83

VASP calculation (PBE) on an optimized crystal structure of SiTc2SbAs.

* total magnetic moment: 0.75 μB per atom
* energy relative to the elements, uncorrected: 1.84 eV/atom
* crystal system: tetragonal

Cell: 4.9894 4.9695 4.9894 Å, 90.00 90.00 90.00°
Last column: nearest neighbours and their distance in Å.
Element x y z (fractional)
Tc  0.5000  0.0000  0.0000  2 Sb 2.49
Tc  0.0000  0.0000  0.5000  2 Sb 2.49
As  0.5000  0.5000  0.5000  8 Tc 3.52, 4 Si 3.53
Sb  0.0000  0.0000  0.0000  2 Si 2.48, 4 Tc 2.49
Si  0.0000  0.5000  0.0000  2 Sb 2.48

Please write out number 6 again, unchanged.
VASP calculation (PBE) on an optimized crystal structure of SiTc2SbAs.

* total magnetic moment: 0.75 μB per atom
* energy relative to the elements, uncorrected: 1.84 eV/atom
* crystal system: tetragonal

Cell: 4.9894 4.9695 4.9894 Å, 90.00 90.00 90.00°
Last column: nearest neighbours and their distance in Å.
Element x y z (fractional)
Tc  0.5000  0.0000  0.0000  2 Sb 2.49
Tc  0.0000  0.0000  0.5000  2 Sb 2.49
As  0.5000  0.5000  0.5000  8 Tc 3.52, 4 Si 3.53
Sb  0.0000  0.0000  0.0000  2 Si 2.48, 4 Tc 2.49
Si  0.0000  0.5000  0.0000  2 Sb 2.48

Question: Number 1 is which compound?
Answer: Np3Tl4ZnTe8